Record 1
Cs3Er2F9: relaxed, PBE-GGA.

Lattice parameters (Å, degrees): 8.4313 8.4313 8.4313 87.73 87.73 87.73
Fractional positions:
F 0.7462 0.9214 0.0744
F 0.7500 0.6170 0.8830
F 0.4214 0.2462 0.5744
F 0.1170 0.2500 0.3830
F 0.8830 0.7500 0.6170
F 0.2462 0.5744 0.4214
F 0.9214 0.0744 0.7462
F 0.0744 0.7462 0.9214
F 0.7538 0.4256 0.5786
F 0.9256 0.2538 0.0786
F 0.5786 0.7538 0.4256
F 0.4256 0.5786 0.7538
F 0.3830 0.1170 0.2500
F 0.5744 0.4214 0.2462
F 0.2500 0.3830 0.1170
F 0.6170 0.8830 0.7500
F 0.0786 0.9256 0.2538
F 0.2538 0.0786 0.9256
Cs 0.7500 0.0872 0.4128
Cs 0.4128 0.7500 0.0872
Cs 0.0872 0.4128 0.7500
Cs 0.2500 0.9128 0.5872
Cs 0.5872 0.2500 0.9128
Cs 0.9128 0.5872 0.2500
Er 0.8587 0.8587 0.8587
Er 0.6413 0.6413 0.6413
Er 0.3587 0.3587 0.3587
Er 0.1413 0.1413 0.1413

The value obtained for the density of states at the Fermi level is 0.00 states/eV per atom. As for the space group: R-3c (167).

=====

Record 2
Cs2ErF6: relaxed, PBE-GGA.

Lattice parameters (Å, degrees): 4.0643 7.0558 7.6547 117.44 100.89 90.00
Site moments in Bohr magnetons follow the coordinates.
Fractional positions:
F 0.5000 0.8245 0.0000  0.19
F 0.8795 0.0700 0.7429  0.14
F 0.1205 0.9300 0.2571  0.14
F 0.1205 0.3271 0.2571  0.14
F 0.8795 0.6729 0.7429  0.14
F 0.5000 0.1755 0.0000  0.19
Cs 0.6513 0.6676 0.3352  0.00
Cs 0.3487 0.3324 0.6648  0.00
Er 0.0000 0.0000 0.0000  -0.03

The value obtained for the density of states at the Fermi level is 0.64 states/eV per atom. As for the space group: C2/m (12).

=====

Record 3
Cs4ErF7: relaxed, PBE-GGA.

Lattice parameters (Å, degrees): 4.5144 8.2646 8.9172 78.06 75.34 74.15
Site moments in Bohr magnetons follow the coordinates.
Fractional positions:
F 0.6227 0.2986 0.4561  0.09
F 0.0739 0.0979 0.7544  0.00
F 0.1523 0.7419 0.9534  0.00
F 0.9261 0.9021 0.2456  0.00
F 0.8477 0.2581 0.0466  0.00
F 0.3773 0.7014 0.5439  0.09
F 0.5000 0.0000 0.0000  0.00
Cs 0.2535 0.1470 0.3461  0.01
Cs 0.5738 0.6134 0.2390  0.00
Cs 0.4262 0.3866 0.7610  0.00
Cs 0.7465 0.8530 0.6539  0.01
Er 0.0000 0.0000 0.0000  0.00

The value obtained for the density of states at the Fermi level is 0.00 states/eV per atom. As for the space group: C2/m (12).

=====

Record 4
Cs5Er2F12: relaxed, PBE-GGA.

Lattice parameters (Å, degrees): 7.1241 8.3775 8.3775 61.06 84.58 84.58
Site moments in Bohr magnetons follow the coordinates.
Fractional positions:
Er 0.0000 0.7257 0.2743  -0.01
Er 0.0000 0.2743 0.7257  -0.01
F 0.8973 0.0514 0.0514  0.41
F 0.8003 0.4143 0.8400  0.03
F 0.1997 0.5857 0.1600  0.03
F 0.2138 0.3038 0.8826  0.05
F 0.7862 0.6962 0.1174  0.05
F 0.1997 0.1600 0.5857  0.03
F 0.1518 0.5335 0.5335  0.02
F 0.8003 0.8400 0.4143  0.03
F 0.8482 0.4665 0.4665  0.02
F 0.2138 0.8826 0.3038  0.05
F 0.7862 0.1174 0.6962  0.05
F 0.1027 0.9486 0.9486  0.41
Cs 0.4820 0.6377 0.6377  0.00
Cs 0.5000 0.0000 0.0000  0.01
Cs 0.9736 0.7618 0.7618  0.00
Cs 0.0264 0.2382 0.2382  0.00
Cs 0.5180 0.3623 0.3623  0.00

As for the space group: C2/m (12).

=====

Record 5
CsEr3F10: relaxed, PBE-GGA.

Lattice parameters (Å, degrees): 8.2673 8.2673 8.2673 60.00 60.00 60.00
Fractional positions:
Er 0.2596 0.7404 0.2596
Er 0.2596 0.7404 0.7404
Er 0.7404 0.2596 0.2596
Er 0.2596 0.2596 0.7404
Er 0.7404 0.7404 0.2596
Er 0.7404 0.2596 0.7404
F 0.3914 0.3914 0.8258
F 0.6735 0.0000 0.0000
F 0.6086 0.6086 0.1742
F 0.6086 0.6086 0.6086
F 0.0000 0.3265 0.0000
F 0.3914 0.3914 0.3914
F 0.6086 0.1742 0.6086
F 0.3265 0.6735 0.0000
F 0.1742 0.6086 0.6086
F 0.0000 0.6735 0.3265
F 0.0000 0.6735 0.0000
F 0.3265 0.0000 0.6735
F 0.6735 0.3265 0.0000
F 0.6735 0.0000 0.3265
F 0.3265 0.0000 0.0000
F 0.0000 0.3265 0.6735
F 0.0000 0.0000 0.6735
F 0.3914 0.8258 0.3914
F 0.0000 0.0000 0.3265
F 0.8258 0.3914 0.3914
Cs 0.2500 0.2500 0.2500
Cs 0.7500 0.7500 0.7500

The value obtained for the density of states at the Fermi level is 0.00 states/eV per atom. As for the space group: Fm-3m (225).

=====

Record 6
Cs2ErF5: relaxed, PBE-GGA.

Lattice parameters (Å, degrees): 6.4013 8.4249 13.1865 90.00 90.00 90.00
Fractional positions:
F 0.7500 0.2298 0.4105
F 0.9907 0.6815 0.8910
F 0.5000 0.5000 0.5000
F 0.4907 0.8185 0.3910
F 0.2500 0.7702 0.5895
F 0.5093 0.6815 0.8910
F 0.9907 0.1815 0.6090
F 0.0000 0.5000 0.5000
F 0.7500 0.7298 0.0895
F 0.0000 0.0000 0.0000
F 0.5093 0.1815 0.6090
F 0.5000 0.0000 0.0000
F 0.7500 0.9774 0.8049
F 0.2500 0.5226 0.3049
F 0.7500 0.4774 0.6951
F 0.2500 0.0226 0.1951
F 0.0093 0.8185 0.3910
F 0.2500 0.2702 0.9105
F 0.4907 0.3185 0.1090
F 0.0093 0.3185 0.1090
Er 0.7500 0.3372 0.5604
Er 0.2500 0.1628 0.0604
Er 0.7500 0.8372 0.9396
Er 0.2500 0.6628 0.4396
Cs 0.7500 0.4996 0.2635
Cs 0.7500 0.8478 0.5869
Cs 0.2500 0.6522 0.0869
Cs 0.7500 0.3478 0.9131
Cs 0.2500 0.1522 0.4131
Cs 0.2500 0.5004 0.7365
Cs 0.2500 0.0004 0.7635
Cs 0.7500 0.9996 0.2365

The value obtained for the density of states at the Fermi level is 0.00 states/eV per atom. As for the space group: Pnma (62).

=====

One value per record, in order, for formation energy from raw total energies: -3.550; -3.057; -3.173; -3.179; -3.984; -3.492 eV/atom.